A.
AgPd2Au2 | PBE-GGA | optimized geometry

Summary:
- Space group: I4/mmm

abc: 7.114 7.114 7.114
angles: 149.28 149.28 44.00
Atoms (fractional coordinates):
Ag: 0.000 0.000 0.000
Pd: 0.250 0.750 0.500
Pd: 0.750 0.250 0.500
Au: 0.401 0.401 0.000
Au: 0.599 0.599 0.000



B.
AgPd2Au2 | PBE-GGA | optimized geometry

Summary:
- Space group: I4/mmm

abc: 6.970 6.970 6.970
angles: 147.88 147.88 46.06
Atoms (fractional coordinates):
Ag: 0.000 0.000 0.000
Pd: 0.401 0.401 0.000
Pd: 0.599 0.599 0.000
Au: 0.250 0.750 0.500
Au: 0.750 0.250 0.500



The energy of each structure relative to the most stable one, in eV/atom, is as follows: A 0.000; B 0.060.



A.
AgPdWAu | PBE-GGA | optimized geometry

Summary:
- Space group: F-43m

abc: 4.528 4.528 4.528
angles: 60.00 60.00 60.00
Atoms (fractional coordinates):
Ag: 0.000 0.000 0.000
Pd: 0.750 0.750 0.750
W: 0.250 0.250 0.250
Au: 0.500 0.500 0.500



B.
AgPdWAu | PBE-GGA | optimized geometry

Summary:
- Space group: F-43m

abc: 4.541 4.541 4.541
angles: 60.00 60.00 60.00
Atoms (fractional coordinates):
Ag: 0.000 0.000 0.000
Pd: 0.250 0.250 0.250
W: 0.500 0.500 0.500
Au: 0.750 0.750 0.750



The energy of each structure relative to the most stable one, in eV/atom, is as follows: A 0.066; B 0.000.



A.
PmAgAu | PBE-GGA | optimized geometry

Summary:
- Space group: P2_1/m

abc: 3.811 4.005 9.178
angles: 90.00 95.58 90.00
Atoms (fractional coordinates):
Pm: 0.193 0.250 0.236
Pm: 0.807 0.750 0.764
Ag: 0.265 0.250 0.573
Ag: 0.735 0.750 0.427
Au: 0.344 0.250 0.900
Au: 0.656 0.750 0.100



B.
PmAgAu | PBE-GGA | optimized geometry

Summary:
- Space group: F-43m

abc: 4.901 4.901 4.901
angles: 60.00 60.00 60.00
Atoms (fractional coordinates):
Pm: 0.000 0.000 0.000
Ag: 0.750 0.750 0.750
Au: 0.250 0.250 0.250



The energy of each structure relative to the most stable one, in eV/atom, is as follows: A 0.000; B 0.380.



A.
RbTaAgAu | PBE-GGA | optimized geometry

Summary:
- Space group: F-43m

abc: 4.940 4.940 4.940
angles: 60.00 60.00 60.00
Atoms (fractional coordinates):
Rb: 0.000 0.000 0.000
Ta: 0.250 0.250 0.250
Ag: 0.500 0.500 0.500
Au: 0.750 0.750 0.750



B.
RbTaAgAu | PBE-GGA | optimized geometry

Summary:
- Space group: F-43m

abc: 5.116 5.116 5.116
angles: 60.00 60.00 60.00
Atoms (fractional coordinates):
Rb: 0.000 0.000 0.000
Ta: 0.500 0.500 0.500
Ag: 0.250 0.250 0.250
Au: 0.750 0.750 0.750



C.
RbTaAgAu | PBE-GGA | optimized geometry

Summary:
- Space group: F-43m

abc: 4.904 4.904 4.904
angles: 60.00 60.00 60.00
Atoms (fractional coordinates):
Rb: 0.000 0.000 0.000
Ta: 0.250 0.250 0.250
Ag: 0.750 0.750 0.750
Au: 0.500 0.500 0.500



The energy of each structure relative to the most stable one, in eV/atom, is as follows: A 0.193; B 0.000; C 0.009.



A.
ScAgAu | PBE-GGA | optimized geometry

Summary:
- Space group: F-43m

abc: 4.555 4.555 4.555
angles: 60.00 60.00 60.00
Atoms (fractional coordinates):
Sc: 0.000 0.000 0.000
Ag: 0.500 0.500 0.500
Au: 0.750 0.750 0.750



B.
ScAgAu | PBE-GGA | optimized geometry

Summary:
- Space group: F-43m

abc: 4.560 4.560 4.560
angles: 60.00 60.00 60.00
Atoms (fractional coordinates):
Sc: 0.000 0.000 0.000
Ag: 0.750 0.750 0.750
Au: 0.250 0.250 0.250



C.
ScAgAu | PBE-GGA | optimized geometry

Summary:
- Space group: I4mm

abc: 5.097 5.097 5.097
angles: 139.08 139.08 59.25
Atoms (fractional coordinates):
Sc: 0.000 0.000 0.000
Ag: 0.671 0.671 0.000
Au: 0.343 0.343 0.000



D.
ScAgAu | PBE-GGA | optimized geometry

Summary:
- Space group: P4/mmm

abc: 3.553 3.553 8.886
angles: 90.00 90.00 90.00
Atoms (fractional coordinates):
Sc: 0.000 0.000 0.000
Sc: 0.500 0.500 0.500
Ag: 0.000 0.000 0.335
Ag: 0.000 0.000 0.665
Au: 0.500 0.500 0.165
Au: 0.500 0.500 0.835



The energy of each structure relative to the most stable one, in eV/atom, is as follows: A 0.273; B 0.411; C 0.000; D 0.013.



A.
Sc2AgAu2 | PBE-GGA | optimized geometry

Summary:
- Space group: I4/mmm

abc: 6.291 6.291 6.291
angles: 137.02 137.02 62.40
Atoms (fractional coordinates):
Sc: 0.250 0.750 0.500
Sc: 0.750 0.250 0.500
Ag: 0.000 0.000 0.000
Au: 0.380 0.380 0.000
Au: 0.620 0.620 0.000



B.
Sc2AgAu2 | PBE-GGA | optimized geometry

Summary:
- Space group: I4/mmm

abc: 7.199 7.199 7.199
angles: 147.39 147.39 46.78
Atoms (fractional coordinates):
Sc: 0.109 0.109 0.000
Sc: 0.891 0.891 0.000
Ag: 0.500 0.500 0.000
Au: 0.250 0.750 0.500
Au: 0.750 0.250 0.500



The energy of each structure relative to the most stable one, in eV/atom, is as follows: A 0.000; B 0.119.



A.
YScAgAu | PBE-GGA | optimized geometry

Summary:
- Space group: F-43m

abc: 4.981 4.981 4.981
angles: 60.00 60.00 60.00
Atoms (fractional coordinates):
Y: 0.000 0.000 0.000
Sc: 0.500 0.500 0.500
Ag: 0.250 0.250 0.250
Au: 0.750 0.750 0.750



B.
YScAgAu | PBE-GGA | optimized geometry

Summary:
- Space group: F-43m

abc: 4.850 4.850 4.850
angles: 60.00 60.00 60.00
Atoms (fractional coordinates):
Y: 0.000 0.000 0.000
Sc: 0.250 0.250 0.250
Ag: 0.750 0.750 0.750
Au: 0.500 0.500 0.500



The energy of each structure relative to the most stable one, in eV/atom, is as follows: A 0.000; B 0.210.



A.
ZnSiAgAu | PBE-GGA | optimized geometry

Summary:
- Space group: F-43m

abc: 4.560 4.560 4.560
angles: 60.00 60.00 60.00
Atoms (fractional coordinates):
Zn: 0.000 0.000 0.000
Si: 0.500 0.500 0.500
Ag: 0.750 0.750 0.750
Au: 0.250 0.250 0.250



B.
ZnSiAgAu | PBE-GGA | optimized geometry

Summary:
- Space group: F-43m

abc: 4.586 4.586 4.586
angles: 60.00 60.00 60.00
Atoms (fractional coordinates):
Zn: 0.000 0.000 0.000
Si: 0.750 0.750 0.750
Ag: 0.250 0.250 0.250
Au: 0.500 0.500 0.500



The energy of each structure relative to the most stable one, in eV/atom, is as follows: A 0.000; B 0.057.